Here is crystalline Y2Nb at its relaxed geometry from OQMD via LeMat-Bulk. Energies are from PBE. Values from VASP.

Structure (Quantum ESPRESSO input):
```
&SYSTEM
  ibrav = 0, nat = 6, ntyp = 2
/
ATOMIC_SPECIES
Nb 92.91 Nb.upf
Y 88.91 Y.upf
ATOMIC_POSITIONS crystal
Nb 0.000 0.000 0.000
Nb 0.250 0.250 0.250
Y 0.625 0.125 0.125
Y 0.125 0.125 0.125
Y 0.125 0.625 0.125
Y 0.125 0.125 0.625
CELL_PARAMETERS angstrom
6.097 -3.444 4.408
-0.211 -8.086 1.739
5.341 -5.158 -3.651
```

Output
Formation energy ... 2184.8 meV per atom
Space group ... No. 227
Theoretical density ... 2.245 g/cm³
Energy above the most stable polymorph in this dataset ... 1.237 eV/atom
Total moment ... 0.0 μB/cell
Final energy ... -5.49 eV/atom